DFT (PBE with a Hubbard U) results for a relaxed NbCrNO2 crystal.

Lattice parameters (Å, degrees): 3.7141 3.7141 3.9098 90.00 90.00 90.00
Fractional positions:
Nb 0.0000 0.0000 0.0000
Cr 0.5000 0.5000 0.5000
N 0.5000 0.5000 0.0000
O 0.0000 0.5000 0.5000
O 0.5000 0.0000 0.5000

Properties
The theoretical density comes out at 5.878 g/cm3. For the volume, the calculation gives 53.9 Å³/f.u. The calculation puts the total energy at -38.6 eV for the cell shown.